1.
GGA-PBE Ac4TmHg5, relaxed; size of the total moment = 1.092 μB/f.u.; electronic total energy = -2.695 eV/atom; mass density = 11.021 g cm⁻³; E_form = -0.45 eV/atom; space group = No. 123
1.0
3.938 0.000 0.000
0.000 3.938 0.000
0.000 0.000 20.208
Ac Tm Hg
4 1 5
Cartesian
0.000 0.000 2.086
0.000 0.000 6.285
0.000 0.000 13.923
0.000 0.000 18.122
0.000 0.000 10.104
1.969 1.969 0.000
1.969 1.969 4.162
1.969 1.969 8.465
1.969 1.969 11.743
1.969 1.969 16.046



2.
GGA-PBE Ac2TmHg, relaxed; size of the total moment = 0.000 μB/f.u.; excess energy over the best structure of this formula in the dataset = 310.3 meV per atom; electronic total energy = -3.117 eV/atom; mass density = 8.661 g cm⁻³; E_form = 0.13 eV/atom; space group = No. 166
1.0
3.783 0.000 0.000
-1.891 3.276 0.000
0.000 0.000 38.221
Ac Tm Hg
6 3 3
Cartesian
0.000 0.000 3.426
0.000 0.000 34.795
0.000 2.184 22.054
0.000 2.184 28.907
1.891 1.092 9.314
1.891 1.092 16.167
0.000 0.000 19.110
0.000 2.184 6.370
1.891 1.092 31.851
0.000 0.000 0.000
0.000 2.184 25.481
1.891 1.092 12.740



3.
GGA-PBE AcTmHg5, relaxed; size of the total moment = 0.000 μB/f.u.; electronic total energy = -1.718 eV/atom; mass density = 11.626 g cm⁻³; E_form = -0.28 eV/atom; space group = No. 123
1.0
4.632 0.000 0.000
0.000 4.632 0.000
0.000 0.000 9.312
Ac Tm Hg
1 1 5
Cartesian
0.000 0.000 0.000
2.316 2.316 4.656
0.000 0.000 4.656
0.000 2.316 2.418
0.000 2.316 6.895
2.316 0.000 2.418
2.316 0.000 6.895



4.
GGA-PBE AcTmHg, relaxed; size of the total moment = 0.464 μB/f.u.; excess energy over the best structure of this formula in the dataset = 53.4 meV per atom; electronic total energy = -3.236 eV/atom; mass density = 10.353 g cm⁻³; E_form = -0.28 eV/atom; space group = No. 107
1.0
3.823 0.000 0.000
0.000 3.823 0.000
0.000 0.000 13.091
Ac Tm Hg
2 2 2
Cartesian
0.000 0.000 0.000
1.912 1.912 6.546
0.000 0.000 3.902
1.912 1.912 10.448
0.000 0.000 8.920
1.912 1.912 2.375



Question: Which of these has the lowest mass density?
Answer: Ac2TmHg



Question: The lowest mass density belongs to which entry?
Answer: Ac2TmHg